Compound: K7Te6As
Source: the Alexandria database
Functional: GGA-PBE
Structure: relaxed

```
K7Te6As
1.0
-4.2999 8.4895 8.7862
4.2999 -8.4895 8.7862
4.2999 8.4895 -8.7862
K Te As
14 12 2
Direct
0.0075 0.2283 0.2358
0.0835 0.5449 0.8776
0.1672 0.0449 0.4614
0.2500 0.2500 0.0000
0.3328 0.7941 0.8776
0.4165 0.2941 0.4614
0.4925 0.7283 0.2207
0.5075 0.2717 0.7793
0.5835 0.7059 0.5386
0.6672 0.2059 0.1224
0.7500 0.7500 0.0000
0.8328 0.9551 0.5386
0.9165 0.4551 0.1224
0.9925 0.7717 0.7642
0.0747 0.8473 0.5864
0.1646 0.9779 0.1425
0.2391 0.6527 0.2274
0.2609 0.4884 0.4136
0.3354 0.4779 0.8133
0.4253 0.0116 0.7726
0.5747 0.9884 0.2274
0.6646 0.5221 0.1867
0.7391 0.5116 0.5864
0.7609 0.3473 0.7726
0.8354 0.0221 0.8575
0.9253 0.1527 0.4136
0.2500 0.7500 0.5000
0.7500 0.2500 0.5000
```

Calculated values
**Formation energy without anion corrections**: -0.74 eV/atom
**Magnetic moment**: 0.000 μB per formula unit
**E_tot**: -2.971 eV/atom

Compound: KTe2As
Source: the Alexandria database
Functional: GGA-PBE
Structure: relaxed

```
KTe2As
1.0
3.2362 0.0000 0.0000
0.0000 6.0566 0.0000
-0.0201 0.0000 6.4820
K Te As
1 2 1
Direct
0.0000 0.0000 0.0000
0.5001 0.0000 0.4978
0.4999 0.5000 0.9725
0.4983 0.5000 0.5642
```

Calculated values
**Formation energy without anion corrections**: -0.31 eV/atom
**Magnetic moment**: 0.000 μB per formula unit
**E_tot**: -3.316 eV/atom

Q: Which value of formation energy without anion corrections does entry 2 give?
A: -0.31 eV/atom

Please write out number 2 again, unchanged.
Compound: KTe2As
Source: the Alexandria database
Functional: GGA-PBE
Structure: relaxed

```
KTe2As
1.0
3.2362 0.0000 0.0000
0.0000 6.0566 0.0000
-0.0201 0.0000 6.4820
K Te As
1 2 1
Direct
0.0000 0.0000 0.0000
0.5001 0.0000 0.4978
0.4999 0.5000 0.9725
0.4983 0.5000 0.5642
```

Calculated values
**Formation energy without anion corrections**: -0.31 eV/atom
**Magnetic moment**: 0.000 μB per formula unit
**E_tot**: -3.316 eV/atom